(1)
A relaxed SrFe2Br crystal. Source: Alexandria via LeMat-Bulk, functional PBEsol.

```
SrFe2Br
1.0
3.946 0.000 0.000
0.000 3.946 0.000
0.000 0.000 5.513
Sr Fe Br
1 2 1
Cartesian
0.000 0.000 0.000
0.000 1.973 2.757
1.973 0.000 2.757
1.973 1.973 0.000
```

Output
Symmetry ... P4/mmm (123)
Raw formation energy ... 48 kJ per mole of atoms
Energy relative to the lowest polymorph listed for this composition ... 384 meV per atom
Magnetic moment ... 5.51 Bohr magnetons per cell

(2)
A relaxed LaZn2Pt crystal. Source: Alexandria via LeMat-Bulk, functional PBEsol.

```
LaZn2Pt
1.0
2.201 1.271 4.885
-2.201 1.271 4.885
0.000 -2.541 4.885
La Zn Pt
1 2 1
Cartesian
0.000 0.000 0.000
0.000 0.000 7.668
0.000 0.000 11.672
0.000 0.000 2.934
```

Output
Calculated formation energy ... -58.85 kJ per mole of atoms
Symmetry ... R3m (160)
Magnetic moment ... 0.00 Bohr magnetons per cell

(3)
A relaxed KZr3Tl crystal. Source: Alexandria via LeMat-Bulk, functional PBEsol.

```
KZr3Tl
1.0
5.464 0.000 0.000
0.000 5.464 0.000
0.000 0.000 5.464
K Zr Tl
1 3 1
Cartesian
0.000 0.000 0.000
0.000 2.732 2.732
2.732 0.000 2.732
2.732 2.732 0.000
2.732 2.732 2.732
```

Output
Calculated formation energy ... 122.26 kJ per mole of atoms
Symmetry ... Pm-3m (221)
Magnetic moment ... 2.98 Bohr magnetons per cell